[1]
6
Lattice="4.904 0.000 0.000 2.452 4.247 0.000 2.452 1.416 4.004" Properties=species:S:1:pos:R:3 comment="LuTiMn4 | Alexandria via LeMat-Bulk | PBE | optimized geometry" spacegroup="F-43m, No. 216" e_form_kj_per_mol_atoms=-8.5 pbc="T T T"
Mn 6.124 3.536 2.500
Mn 3.683 3.536 2.500
Mn 4.904 2.831 0.507
Mn 4.904 1.422 2.500
Ti 2.452 1.416 1.001
Lu 0.000 0.000 0.000

[2]
4
Lattice="5.111 0.000 0.000 2.556 4.426 0.000 2.556 1.475 4.173" Properties=species:S:1:pos:R:3 comment="Lu2MnTl | Alexandria via LeMat-Bulk | PBE | optimized geometry" polymorph_energy_kj_per_mol_atoms=9.7 spacegroup="Fm-3m, No. 225" e_form_kj_per_mol_atoms=0.0 pbc="T T T"
Tl 5.111 2.951 2.087
Lu 7.667 4.426 3.130
Lu 2.556 1.475 1.043
Mn 0.000 0.000 0.000

[3]
4
Lattice="3.580 0.000 0.000 0.000 3.580 0.000 0.000 0.000 7.310" Properties=species:S:1:pos:R:3 comment="Lu2MnTl | Alexandria via LeMat-Bulk | PBE | optimized geometry" polymorph_energy_kj_per_mol_atoms=0.0 spacegroup="P4/mmm, No. 123" e_form_kj_per_mol_atoms=-9.7 pbc="T T T"
Lu 0.000 0.000 1.649
Lu 0.000 0.000 5.662
Tl 1.790 1.790 3.655
Mn 1.790 1.790 0.000

[4]
4
Lattice="-3.168 -2.828 2.873 -0.091 -5.098 -0.543 1.889 -3.006 3.699" Properties=species:S:1:pos:R:3 comment="TmLuMnTl | Alexandria via LeMat-Bulk | PBE | optimized geometry" spacegroup="F-43m, No. 216" e_form_kj_per_mol_atoms=-0.6 pbc="T T T"
Lu -0.343 -2.733 1.507
Tl 0.000 0.000 0.000
Tm -1.028 -8.199 4.522
Mn -0.685 -5.466 3.015

[5]
4
Lattice="3.354 0.000 0.000 0.000 4.928 0.000 0.000 0.000 4.928" Properties=species:S:1:pos:R:3 comment="TmLuMn2 | Alexandria via LeMat-Bulk | PBE | optimized geometry" polymorph_energy_kj_per_mol_atoms=0.0 spacegroup="P4/mmm, No. 123" e_form_kj_per_mol_atoms=15.8 pbc="T T T"
Lu 1.677 2.464 2.464
Mn 0.000 2.464 0.000
Mn 0.000 0.000 2.464
Tm 1.677 0.000 0.000

[6]
3
Lattice="3.410 0.000 0.000 0.000 3.410 0.000 -1.705 -1.705 6.197" Properties=species:S:1:pos:R:3 comment="TmLuMn | Alexandria via LeMat-Bulk | PBE | optimized geometry" spacegroup="I4mm, No. 107" e_form_kj_per_mol_atoms=10.2 pbc="T T T"
Tm 0.000 0.000 0.364
Mn 1.705 1.705 2.074
Lu 0.000 0.000 3.758

[7]
4
Lattice="-3.084 -1.466 0.591 0.704 -2.434 -2.365 3.459 -4.848 6.022" Properties=species:S:1:pos:R:3 comment="Tm2LuMn | Alexandria via LeMat-Bulk | PBE | optimized geometry" polymorph_energy_kj_per_mol_atoms=0.0 spacegroup="P4/mmm, No. 123" e_form_kj_per_mol_atoms=10.7 pbc="T T T"
Tm 2.755 -3.862 4.796
Tm 0.704 -0.986 1.225
Mn -1.190 -1.950 -0.887
Lu 0.539 -4.374 2.124

[8]
6
Lattice="-4.638 -1.790 0.862 -1.834 -3.734 -2.856 -0.601 -4.612 1.958" Properties=species:S:1:pos:R:3 comment="TmLuMn4 | Alexandria via LeMat-Bulk | PBE | optimized geometry" spacegroup="F-43m, No. 216" e_form_kj_per_mol_atoms=3.8 pbc="T T T"
Lu 0.000 0.000 0.000
Mn -4.121 -4.029 -1.001
Mn -4.421 -6.336 -0.022
Mn -2.101 -5.440 -0.453
Mn -3.504 -4.468 1.406
Tm -1.768 -2.534 -0.009

[9]
4
Lattice="4.421 0.000 0.000 0.000 4.795 0.000 0.000 0.000 4.795" Properties=species:S:1:pos:R:3 comment="Tm2LuMn | Alexandria via LeMat-Bulk | PBE | optimized geometry" polymorph_energy_kj_per_mol_atoms=9.1 spacegroup="P4/mmm, No. 123" e_form_kj_per_mol_atoms=19.8 pbc="T T T"
Mn 2.210 0.000 0.000
Tm 0.000 0.000 2.398
Tm 0.000 2.398 0.000
Lu 2.210 2.398 2.398

[10]
4
Lattice="3.395 0.000 0.000 1.697 2.940 0.000 1.697 0.980 8.698" Properties=species:S:1:pos:R:3 comment="LuU2Mn | Alexandria via LeMat-Bulk | PBE | optimized geometry" spacegroup="R-3m, No. 166" e_form_kj_per_mol_atoms=40.1 pbc="T T T"
Mn 0.000 0.000 0.000
U 1.697 0.980 1.643
U 5.092 2.940 7.055
Lu 3.395 1.960 4.349

[11]
6
Lattice="5.062 0.000 0.000 2.531 4.384 0.000 2.531 1.461 4.133" Properties=species:S:1:pos:R:3 comment="LuUMn4 | Alexandria via LeMat-Bulk | PBE | optimized geometry" spacegroup="F-43m, No. 216" e_form_kj_per_mol_atoms=8.7 pbc="T T T"
U 2.531 1.461 1.033
Mn 6.320 3.649 2.580
Mn 3.804 3.649 2.580
Mn 5.062 1.470 2.580
Mn 5.062 2.923 0.526
Lu 0.000 0.000 0.000

[12]
4
Lattice="3.027 0.000 0.000 1.514 2.622 0.000 1.514 0.874 8.179" Properties=species:S:1:pos:R:3 comment="LuMn2V | Alexandria via LeMat-Bulk | PBE | optimized geometry" polymorph_energy_kj_per_mol_atoms=32.7 spacegroup="R-3m, No. 166" e_form_kj_per_mol_atoms=38.6 pbc="T T T"
Lu 3.027 1.748 4.090
Mn 1.514 0.874 1.747
Mn 4.541 2.622 6.433
V 0.000 0.000 0.000

[13]
4
Lattice="-2.801 -0.391 -1.101 0.337 -3.008 0.211 -2.456 0.160 6.190" Properties=species:S:1:pos:R:3 comment="LuMn2V | Alexandria via LeMat-Bulk | PBE | optimized geometry" polymorph_energy_kj_per_mol_atoms=0.0 spacegroup="P4/mmm, No. 123" e_form_kj_per_mol_atoms=5.9 pbc="T T T"
Mn -1.958 0.128 4.936
Mn -0.498 0.033 1.255
Lu -2.460 -1.619 2.650
V -1.232 -1.700 -0.445

[14]
6
Lattice="-1.127 -3.585 3.107 1.795 -4.480 -0.692 3.394 -1.761 3.026" Properties=species:S:1:pos:R:3 comment="LuMn4V | Alexandria via LeMat-Bulk | PBE | optimized geometry" spacegroup="F-43m, No. 216" e_form_kj_per_mol_atoms=2.0 pbc="T T T"
Lu 0.000 0.000 0.000
Mn 2.536 -6.135 3.397
Mn 0.847 -5.259 1.891
Mn 1.643 -3.906 3.742
Mn 3.097 -4.351 1.851
V 1.015 -2.456 1.360

[15]
3
Lattice="-1.843 -1.923 -2.193 2.912 -1.062 -1.515 -0.227 -3.339 5.831" Properties=species:S:1:pos:R:3 comment="YLuMn | Alexandria via LeMat-Bulk | PBE | optimized geometry" spacegroup="I4mm, No. 107" e_form_kj_per_mol_atoms=12.3 pbc="T T T"
Lu 0.186 -2.921 2.405
Mn 0.639 -3.134 -0.503
Y 0.017 -0.268 0.221

[16]
4
Lattice="3.547 0.000 0.000 0.000 3.547 0.000 0.000 0.000 6.768" Properties=species:S:1:pos:R:3 comment="YLuMn2 | Alexandria via LeMat-Bulk | PBE | optimized geometry" spacegroup="P4/mmm, No. 123" e_form_kj_per_mol_atoms=18.2 pbc="T T T"
Mn 0.000 0.000 5.213
Mn 0.000 0.000 1.555
Lu 1.774 1.774 0.000
Y 1.774 1.774 3.384

[17]
6
Lattice="-3.975 -2.934 1.160 0.711 -4.373 2.475 -1.494 -0.455 4.828" Properties=species:S:1:pos:R:3 comment="YLuMn4 | Alexandria via LeMat-Bulk | PBE | optimized geometry" spacegroup="F-43m, No. 216" e_form_kj_per_mol_atoms=9.1 pbc="T T T"
Mn -2.975 -4.853 5.292
Mn -0.983 -3.383 4.711
Mn -3.331 -2.662 4.052
Mn -2.226 -4.625 2.872
Lu 0.000 0.000 0.000
Y -1.189 -1.940 2.116

[18]
4
Lattice="-1.665 2.565 3.833 1.772 -0.870 4.489 2.891 3.309 2.179" Properties=species:S:1:pos:R:3 comment="Lu2MnZn | Alexandria via LeMat-Bulk | PBE | optimized geometry" polymorph_energy_kj_per_mol_atoms=4.8 spacegroup="Fm-3m, No. 225" e_form_kj_per_mol_atoms=-6.1 pbc="T T T"
Zn 1.499 2.502 5.250
Lu 2.248 3.753 7.876
Lu 0.749 1.251 2.625
Mn 0.000 0.000 0.000

[19]
3
Lattice="-0.131 3.229 0.770 -3.319 -0.146 0.047 1.844 -2.699 4.467" Properties=species:S:1:pos:R:3 comment="LuMnZn | Alexandria via LeMat-Bulk | PBE | optimized geometry" spacegroup="I4mm, No. 107" e_form_kj_per_mol_atoms=-2.5 pbc="T T T"
Zn 0.074 -0.716 3.015
Mn -1.681 1.112 2.217
Lu 0.001 -0.012 0.051

[20]
4
Lattice="3.396 0.000 0.000 0.000 3.396 0.000 0.000 0.000 7.211" Properties=species:S:1:pos:R:3 comment="Lu2MnZn | Alexandria via LeMat-Bulk | PBE | optimized geometry" polymorph_energy_kj_per_mol_atoms=0.0 spacegroup="P4/mmm, No. 123" e_form_kj_per_mol_atoms=-10.9 pbc="T T T"
Lu 0.000 0.000 1.725
Lu 0.000 0.000 5.486
Mn 1.698 1.698 0.000
Zn 1.698 1.698 3.606